Material: ZnCr4CuSe8
Method: DFT, GGA-PBEsol
State: optimized geometry

Output
**Symmetry**: F-43m (216)
**Formation energy without anion corrections**: -46.5 kJ per mole of atoms

abc: 7.2929 7.2929 7.2929
angles: 60.00 60.00 60.00
Last column: nearest neighbours and their distance in Å.
Fractional positions:
Zn 0.0000 0.0000 0.0000  4 Se 2.41
Cr 0.1315 0.6228 0.6228  6 Se 2.48-2.50
Cr 0.6228 0.1315 0.6228  6 Se 2.48-2.50
Cr 0.6228 0.6228 0.1315  6 Se 2.48-2.50
Cr 0.6228 0.6228 0.6228  6 Se 2.48-2.50
Cu 0.2500 0.2500 0.2500  4 Se 2.36
Se 0.3823 0.3823 0.3823  1 Cu 2.36, 3 Cr 2.48
Se 0.3823 0.3823 0.8530  1 Cu 2.36, 3 Cr 2.48
Se 0.3823 0.8530 0.3823  1 Cu 2.36, 3 Cr 2.48
Se 0.4055 0.8648 0.8648  1 Zn 2.41, 3 Cr 2.50
Se 0.8530 0.3823 0.3823  1 Cu 2.36, 3 Cr 2.48
Se 0.8648 0.4055 0.8648  1 Zn 2.41, 3 Cr 2.50
Se 0.8648 0.8648 0.4055  1 Zn 2.41, 3 Cr 2.50
Se 0.8648 0.8648 0.8648  1 Zn 2.41, 3 Cr 2.50